Model a:
Computed, not measured: a geometry-optimized LaPS2N structure at the PBE level of DFT.

```
data_LaPS2N
_chemical_formula_sum 'La1 P1 S2 N1'
_space_group_name_H-M_alt 'P 4/m m m'
_space_group_IT_number 123
_space_group_name_Hall '-P 4 2'
_cell_length_a 4.520
_cell_length_b 4.520
_cell_length_c 4.120
_cell_angle_alpha 90.00
_cell_angle_beta 90.00
_cell_angle_gamma 90.00
loop_
_atom_site_label
_atom_site_fract_x
_atom_site_fract_y
_atom_site_fract_z
_atom_site_occupancy
La1 0.000 0.000 0.000 1
P1 0.500 0.500 0.000 1
S1 0.000 0.500 0.500 1
N1 0.500 0.500 0.500 1
```



Model b:
Computed, not measured: a geometry-optimized LaPS2N structure at the PBE level of DFT.

```
data_LaPS2N
_chemical_formula_sum 'La1 P1 S2 N1'
_space_group_name_H-M_alt 'P 4/m m m'
_space_group_IT_number 123
_space_group_name_Hall '-P 4 2'
_cell_length_a 5.592
_cell_length_b 5.592
_cell_length_c 4.063
_cell_angle_alpha 90.00
_cell_angle_beta 90.00
_cell_angle_gamma 90.00
loop_
_atom_site_label
_atom_site_fract_x
_atom_site_fract_y
_atom_site_fract_z
_atom_site_occupancy
La1 0.000 0.000 0.000 1
P1 0.500 0.500 0.500 1
S1 0.000 0.500 0.000 1
N1 0.000 0.000 0.500 1
```



How do the energies compare? Relative to the most stable structure, in kJ/mol of atoms: model a 0.0; model b 91.7.



Model a:
Computed, not measured: a geometry-optimized LaPSeN2 structure at the PBE level of DFT.

```
data_LaPSeN2
_chemical_formula_sum 'La1 P1 Se1 N2'
_space_group_name_H-M_alt 'P 4/m m m'
_space_group_IT_number 123
_space_group_name_Hall '-P 4 2'
_cell_length_a 4.110
_cell_length_b 4.110
_cell_length_c 6.643
_cell_angle_alpha 90.00
_cell_angle_beta 90.00
_cell_angle_gamma 90.00
loop_
_atom_site_label
_atom_site_fract_x
_atom_site_fract_y
_atom_site_fract_z
_atom_site_occupancy
La1 0.000 0.000 0.000 1
P1 0.500 0.500 0.500 1
Se1 0.000 0.000 0.500 1
N1 0.000 0.500 0.000 1
```



Model b:
Computed, not measured: a geometry-optimized LaPSeN2 structure at the PBE level of DFT.

```
data_LaPSeN2
_chemical_formula_sum 'La1 P1 Se1 N2'
_space_group_name_H-M_alt 'P 4/m m m'
_space_group_IT_number 123
_space_group_name_Hall '-P 4 2'
_cell_length_a 4.003
_cell_length_b 4.003
_cell_length_c 4.733
_cell_angle_alpha 90.00
_cell_angle_beta 90.00
_cell_angle_gamma 90.00
loop_
_atom_site_label
_atom_site_fract_x
_atom_site_fract_y
_atom_site_fract_z
_atom_site_occupancy
La1 0.000 0.000 0.000 1
P1 0.500 0.500 0.500 1
Se1 0.500 0.500 0.000 1
N1 0.000 0.500 0.500 1
```



How do the energies compare? Relative to the most stable structure, in kJ/mol of atoms: model a 94.0; model b 0.0.



Model a:
Computed, not measured: a geometry-optimized LaPSe2N structure at the PBE level of DFT.

```
data_LaPSe2N
_chemical_formula_sum 'La1 P1 Se2 N1'
_space_group_name_H-M_alt 'P 4/m m m'
_space_group_IT_number 123
_space_group_name_Hall '-P 4 2'
_cell_length_a 5.148
_cell_length_b 5.148
_cell_length_c 3.617
_cell_angle_alpha 90.00
_cell_angle_beta 90.00
_cell_angle_gamma 90.00
loop_
_atom_site_label
_atom_site_fract_x
_atom_site_fract_y
_atom_site_fract_z
_atom_site_occupancy
La1 0.000 0.000 0.000 1
P1 0.500 0.500 0.500 1
Se1 0.000 0.500 0.500 1
N1 0.500 0.500 0.000 1
```



Model b:
Computed, not measured: a geometry-optimized LaPSe2N structure at the PBE level of DFT.

```
data_LaPSe2N
_chemical_formula_sum 'La1 P1 Se2 N1'
_space_group_name_H-M_alt 'P 4/m m m'
_space_group_IT_number 123
_space_group_name_Hall '-P 4 2'
_cell_length_a 5.863
_cell_length_b 5.863
_cell_length_c 4.096
_cell_angle_alpha 90.00
_cell_angle_beta 90.00
_cell_angle_gamma 90.00
loop_
_atom_site_label
_atom_site_fract_x
_atom_site_fract_y
_atom_site_fract_z
_atom_site_occupancy
La1 0.000 0.000 0.000 1
P1 0.500 0.500 0.500 1
Se1 0.000 0.500 0.000 1
N1 0.000 0.000 0.500 1
```



How do the energies compare? Relative to the most stable structure, in kJ/mol of atoms: model a 0.0; model b 110.2.



Model a:
Computed, not measured: a geometry-optimized LaTe2PN structure at the PBE level of DFT.

```
data_LaTe2PN
_chemical_formula_sum 'La1 Te2 P1 N1'
_space_group_name_H-M_alt 'P 4/m m m'
_space_group_IT_number 123
_space_group_name_Hall '-P 4 2'
_cell_length_a 5.873
_cell_length_b 5.873
_cell_length_c 3.410
_cell_angle_alpha 90.00
_cell_angle_beta 90.00
_cell_angle_gamma 90.00
loop_
_atom_site_label
_atom_site_fract_x
_atom_site_fract_y
_atom_site_fract_z
_atom_site_occupancy
La1 0.000 0.000 0.000 1
Te1 0.000 0.500 0.500 1
P1 0.500 0.500 0.500 1
N1 0.500 0.500 0.000 1
```



Model b:
Computed, not measured: a geometry-optimized LaTe2PN structure at the PBE level of DFT.

```
data_LaTe2PN
_chemical_formula_sum 'La1 Te2 P1 N1'
_space_group_name_H-M_alt 'P 4/m m m'
_space_group_IT_number 123
_space_group_name_Hall '-P 4 2'
_cell_length_a 6.328
_cell_length_b 6.328
_cell_length_c 4.011
_cell_angle_alpha 90.00
_cell_angle_beta 90.00
_cell_angle_gamma 90.00
loop_
_atom_site_label
_atom_site_fract_x
_atom_site_fract_y
_atom_site_fract_z
_atom_site_occupancy
La1 0.000 0.000 0.000 1
Te1 0.000 0.500 0.000 1
P1 0.500 0.500 0.500 1
N1 0.000 0.000 0.500 1
```



How do the energies compare? Relative to the most stable structure, in kJ/mol of atoms: model a 0.0; model b 82.3.